Record 1
A plane-wave DFT calculation with PBE was carried out for crystalline MgZrInOs at its relaxed geometry.

* calculated total energy: -6.13 eV/atom
* crystal system: cubic
* total magnetic moment: 0.00 μB/f.u.

a = 4.708 Å, b = 4.708 Å, c = 4.708 Å
α = 60.00°, β = 60.00°, γ = 60.00°
Element x y z (fractional)
1 Mg 0.000 0.000 0.000
2 Zr 0.750 0.750 0.750
3 In 0.250 0.250 0.250
4 Os 0.500 0.500 0.500

Record 2
A plane-wave DFT calculation with PBE was carried out for crystalline MgInP2 at its relaxed geometry.

* calculated total energy: -3.80 eV/atom
* crystal system: orthorhombic
* total magnetic moment: 0.00 μB/f.u.

a = 6.974 Å, b = 6.974 Å, c = 6.974 Å
α = 152.80°, β = 146.99°, γ = 43.28°
Element x y z (fractional)
1 Mg 0.000 0.000 0.000
2 In 0.304 0.804 0.500
3 P 0.556 0.556 0.000
4 P 0.683 0.183 0.500

Record 3
A plane-wave DFT calculation with PBE was carried out for crystalline MgInP at its relaxed geometry.

* excess energy over the best structure of this formula in the dataset: 0.255 eV/atom
* crystal system: hexagonal
* total magnetic moment: 0.00 μB/f.u.

a = 7.164 Å, b = 7.164 Å, c = 4.524 Å
α = 90.00°, β = 90.00°, γ = 120.00°
Element x y z (fractional)
1 Mg 0.000 0.000 0.000
2 Mg 0.333 0.667 0.500
3 Mg 0.667 0.333 0.500
4 In 0.000 0.493 0.000
5 In 0.493 0.000 0.000
6 In 0.507 0.507 0.000
7 P 0.000 0.273 0.500
8 P 0.273 0.000 0.500
9 P 0.727 0.727 0.500

Record 4
A plane-wave DFT calculation with PBE was carried out for crystalline Mg3InP at its relaxed geometry.

* excess energy over the best structure of this formula in the dataset: 0.712 eV/atom
* crystal system: cubic
* total magnetic moment: 0.25 μB/f.u.

a = 5.220 Å, b = 5.220 Å, c = 5.220 Å
α = 90.00°, β = 90.00°, γ = 90.00°
Element x y z (fractional)
1 Mg 0.000 0.000 0.500
2 Mg 0.000 0.500 0.000
3 Mg 0.500 0.000 0.000
4 In 0.000 0.000 0.000
5 P 0.500 0.500 0.500

Record 5
A plane-wave DFT calculation with PBE was carried out for crystalline MgInP2 at its relaxed geometry.

* calculated total energy: -3.89 eV/atom
* crystal system: tetragonal
* total magnetic moment: 0.00 μB/f.u.

a = 3.834 Å, b = 3.834 Å, c = 5.456 Å
α = 90.00°, β = 90.00°, γ = 90.00°
Element x y z (fractional)
1 Mg 0.000 0.000 0.000
2 In 0.500 0.500 0.500
3 P 0.000 0.000 0.500
4 P 0.500 0.500 0.000

Record 6
A plane-wave DFT calculation with PBE was carried out for crystalline MgInP2 at its relaxed geometry.

* calculated total energy: -3.67 eV/atom
* crystal system: tetragonal
* total magnetic moment: 0.00 μB/f.u.

a = 5.036 Å, b = 5.036 Å, c = 2.972 Å
α = 90.00°, β = 90.00°, γ = 90.00°
Element x y z (fractional)
1 Mg 0.000 0.000 0.000
2 In 0.500 0.500 0.000
3 P 0.000 0.500 0.500
4 P 0.500 0.000 0.500

Record 7
A plane-wave DFT calculation with PBE was carried out for crystalline Mg2InP at its relaxed geometry.

* calculated total energy: -3.09 eV/atom
* crystal system: trigonal
* total magnetic moment: 0.00 μB/f.u.

a = 7.570 Å, b = 7.570 Å, c = 7.570 Å
α = 29.72°, β = 29.72°, γ = 29.72°
Element x y z (fractional)
1 Mg 0.223 0.223 0.223
2 Mg 0.777 0.777 0.777
3 In 0.000 0.000 0.000
4 P 0.500 0.500 0.500

Record 8
A plane-wave DFT calculation with PBE was carried out for crystalline Mg2InP at its relaxed geometry.

* calculated total energy: -2.94 eV/atom
* crystal system: tetragonal
* total magnetic moment: 0.00 μB/f.u.

a = 6.273 Å, b = 6.273 Å, c = 6.273 Å
α = 104.36°, β = 104.36°, γ = 120.26°
Element x y z (fractional)
1 Mg 0.060 0.625 0.935
2 Mg 0.375 0.310 0.435
3 Mg 0.690 0.125 0.065
4 Mg 0.875 0.940 0.565
5 In 0.250 0.750 0.500
6 In 0.500 0.500 0.000
7 P 0.000 0.000 0.000
8 P 0.750 0.250 0.500

Record 9
A plane-wave DFT calculation with PBE was carried out for crystalline MgInP2 at its relaxed geometry.

* calculated total energy: -3.58 eV/atom
* crystal system: trigonal
* total magnetic moment: 0.00 μB/f.u.

a = 9.727 Å, b = 9.727 Å, c = 9.727 Å
α = 18.31°, β = 18.31°, γ = 18.31°
Element x y z (fractional)
1 Mg 0.000 0.000 0.000
2 In 0.500 0.500 0.500
3 P 0.264 0.264 0.264
4 P 0.736 0.736 0.736

Record 10
A plane-wave DFT calculation with PBE was carried out for crystalline Mg4InP at its relaxed geometry.

* calculated total energy: -2.23 eV/atom
* crystal system: cubic
* total magnetic moment: 0.00 μB/f.u.

a = 5.725 Å, b = 5.725 Å, c = 5.725 Å
α = 60.00°, β = 60.00°, γ = 60.00°
Element x y z (fractional)
1 Mg 0.125 0.125 0.125
2 Mg 0.125 0.125 0.626
3 Mg 0.125 0.626 0.125
4 Mg 0.626 0.125 0.125
5 In 0.500 0.500 0.500
6 P 0.750 0.750 0.750

Record 11
A plane-wave DFT calculation with PBE was carried out for crystalline Mg2InP at its relaxed geometry.

* calculated total energy: -3.03 eV/atom
* crystal system: monoclinic
* total magnetic moment: 0.00 μB/f.u.

a = 3.901 Å, b = 3.705 Å, c = 6.354 Å
α = 90.00°, β = 107.78°, γ = 90.00°
Element x y z (fractional)
1 Mg 0.000 0.000 0.000
2 Mg 0.318 0.500 0.636
3 In 0.613 0.500 0.225
4 P 0.789 0.000 0.579

Record 12
A plane-wave DFT calculation with PBE was carried out for crystalline MgIn4P at its relaxed geometry.

* calculated total energy: -2.61 eV/atom
* crystal system: cubic
* total magnetic moment: 0.00 μB/f.u.

a = 6.059 Å, b = 6.059 Å, c = 6.059 Å
α = 60.00°, β = 60.00°, γ = 60.00°
Element x y z (fractional)
1 Mg 0.000 0.000 0.000
2 In 0.375 0.375 0.375
3 In 0.375 0.375 0.874
4 In 0.375 0.874 0.375
5 In 0.874 0.375 0.375
6 P 0.750 0.750 0.750

Question: What is the total magnetic moment in the seventh record?
Answer: 0.00 μB/f.u.

Question: Among the records above, which one has the highest total magnetic moment?
Answer: Mg3InP

Repeat the second record exactly.
A plane-wave DFT calculation with PBE was carried out for crystalline MgInP2 at its relaxed geometry.

* calculated total energy: -3.80 eV/atom
* crystal system: orthorhombic
* total magnetic moment: 0.00 μB/f.u.

a = 6.974 Å, b = 6.974 Å, c = 6.974 Å
α = 152.80°, β = 146.99°, γ = 43.28°
Element x y z (fractional)
1 Mg 0.000 0.000 0.000
2 In 0.304 0.804 0.500
3 P 0.556 0.556 0.000
4 P 0.683 0.183 0.500

Question: Which formula does entry 6 have?
Answer: MgInP2